(1)
12
Lattice="5.644 0.000 0.000 -2.822 4.888 0.000 0.000 0.000 6.262" Properties=species:S:1:pos:R:3 comment="PBE-GGA NaMgAs2O8, relaxed" dos_at_fermi_per_ev_atom=0.56 formation_energy_uncorrected_ev_per_atom=-1.13 space_group="No. 147" m_tot_mub_per_fu=3.0 pbc="T T T"
Na 0.000 0.000 0.000
Mg 0.000 0.000 3.131
As 0.000 3.259 3.969
As 2.822 1.629 2.293
O -0.230 1.632 4.451
O -1.294 4.271 4.451
O 0.000 3.259 2.183
O 1.298 1.015 1.812
O 1.524 3.873 4.451
O 2.822 1.629 4.079
O 4.116 0.617 1.812
O 3.052 3.256 1.812

=====

(2)
8
Lattice="6.764 0.000 0.000 -1.699 6.548 0.000 -2.703 -3.138 5.433" Properties=species:S:1:pos:R:3 comment="PBE-GGA Tl2PAuSe4, relaxed" dos_at_fermi_per_ev_atom=0.00 formation_energy_uncorrected_ev_per_atom=-0.23 space_group="No. 1" m_tot_mub_per_fu=0.0 pbc="T T T"
Tl 0.000 0.000 0.000
Tl -0.833 3.508 2.731
P 2.675 3.485 0.011
Au 4.000 1.014 2.739
Se -2.299 0.368 5.063
Se 1.059 0.954 3.617
Se 3.287 1.301 0.405
Se 2.996 4.709 1.825